Li2Ag3Br6: optimized geometry, GGA-PBE.

Lattice parameters (Å, degrees): 4.2486 4.2486 20.5354 90.00 90.00 120.00
Space group P3m1 (No. 156)
One atom of each set of equivalent atoms:
Li  0.0000  0.0000  0.0000 (multiplicity 1)
Li  0.3333  0.6667  0.3876 (multiplicity 1)
Ag  0.3333  0.6667  0.8076 (multiplicity 1)
Ag  0.6667  0.3333  0.1947 (multiplicity 1)
Ag  0.6667  0.3333  0.6167 (multiplicity 1)
Br  0.3333  0.6667  0.2483 (multiplicity 1)
Br  0.3333  0.6667  0.5692 (multiplicity 1)
Br  0.3333  0.6667  0.9331 (multiplicity 1)
Br  0.6667  0.3333  0.0680 (multiplicity 1)
Br  0.6667  0.3333  0.4067 (multiplicity 1)
Br  0.6667  0.3333  0.7488 (multiplicity 1)

Values from the calculation:
Total magnetization = 0.00 μB/atom
Raw formation energy = -0.6984 eV per atom
Theoretical density = 4.23 g cm⁻³